A relaxed structure of YIBr3, computed with PBE.

Results
- DFT total energy (eV for the cell shown) = -11.8
- calculated volume (Å³/atom) = 39.6
- offset from the most stable computed form (eV per atom) = 1.3973

POSCAR file:
```
YIBr3
1.0
-0.5586 -4.0399 4.1643
5.6801 0.4721 1.2198
-1.1827 4.1750 3.8916
Br Y I
3 1 1
Direct
0.0000 0.0000 0.5000
0.5000 0.0000 0.0000
0.0000 0.5000 0.0000
0.5000 0.5000 0.5000
0.0000 0.0000 0.0000
```



A relaxed structure of YIBr3, computed with PBE.

Results
- DFT total energy (eV for the cell shown) = -18.8
- calculated volume (Å³/atom) = 35.8
- offset from the most stable computed form (eV per atom) = 0.0000

POSCAR file:
```
YIBr3
1.0
5.6370 0.0000 0.0000
0.0000 5.6370 0.0000
0.0000 0.0000 5.6370
Br Y I
3 1 1
Direct
0.0000 0.0000 0.5000
0.5000 0.0000 0.0000
0.0000 0.5000 0.0000
0.0000 0.0000 0.0000
0.5000 0.5000 0.5000
```



A relaxed structure of YIBr, computed with PBE.

Results
- DFT total energy (eV for the cell shown) = -27.9
- calculated volume (Å³/atom) = 36.9
- offset from the most stable computed form (eV per atom) = 0.0341

POSCAR file:
```
YIBr
1.0
-2.7722 1.3158 2.6374
-3.3961 -5.9765 -0.5926
4.8981 -3.2300 5.3998
I Br Y
2 2 2
Direct
0.0566 0.8374 0.2582
0.9434 0.1626 0.7418
0.4524 0.6610 0.7821
0.5476 0.3390 0.2179
0.0000 0.5000 0.0000
0.5000 0.0000 0.0000
```



A relaxed structure of YIBr, computed with PBE.

Results
- DFT total energy (eV for the cell shown) = -54.7
- calculated volume (Å³/atom) = 37.6
- offset from the most stable computed form (eV per atom) = 0.1264

POSCAR file:
```
YIBr
1.0
-2.8868 7.5780 7.1328
1.1876 -2.3303 2.9564
9.6979 4.1774 -0.6030
I Br Y
4 4 4
Direct
0.5334 0.0000 0.0392
0.8687 0.0000 0.3227
0.5334 0.5000 0.5392
0.8687 0.5000 0.8227
0.2711 0.5000 0.8048
0.0626 0.0000 0.5902
0.2711 0.0000 0.3048
0.0626 0.5000 0.0902
0.3254 0.5000 0.0802
0.0753 0.0000 0.8868
0.0753 0.5000 0.3868
0.3254 0.0000 0.5802
```



A relaxed structure of YI2Br, computed with PBE.

Results
- DFT total energy (eV for the cell shown) = -17.4
- calculated volume (Å³/atom) = 50.7
- offset from the most stable computed form (eV per atom) = 0.0000

POSCAR file:
```
YI2Br
1.0
4.1591 -0.0001 1.2664
-0.0266 5.6070 0.0877
-0.3492 0.0211 8.5850
I Br Y
2 1 1
Direct
0.6282 0.0071 0.7431
0.3722 0.9929 0.2570
0.9998 0.5000 0.0000
0.9999 0.0000 0.0000
```



A relaxed structure of YI3Br, computed with PBE.

Results
- DFT total energy (eV for the cell shown) = -11.3
- calculated volume (Å³/atom) = 41.6
- offset from the most stable computed form (eV per atom) = 1.0805

POSCAR file:
```
YI3Br
1.0
5.9270 0.0000 0.0000
0.0000 5.9270 0.0000
0.0000 0.0000 5.9270
I Br Y
3 1 1
Direct
0.5000 0.0000 0.0000
0.0000 0.0000 0.5000
0.0000 0.5000 0.0000
0.0000 0.0000 0.0000
0.5000 0.5000 0.5000
```



A relaxed structure of YIBr2, computed with PBE.

Results
- DFT total energy (eV for the cell shown) = -15.2
- calculated volume (Å³/atom) = 27.8
- offset from the most stable computed form (eV per atom) = 0.7270

POSCAR file:
```
YIBr2
1.0
0.9980 1.6627 5.0378
-2.5455 -2.3139 4.1601
2.7282 -3.1819 3.4018
Br Y I
2 1 1
Direct
0.7500 0.7500 0.7500
0.2500 0.2500 0.2500
0.0000 0.0000 0.0000
0.5000 0.5000 0.5000
```



A relaxed structure of YIBr2, computed with PBE.

Results
- DFT total energy (eV for the cell shown) = -34.8
- calculated volume (Å³/atom) = 37.8
- offset from the most stable computed form (eV per atom) = 0.1743

POSCAR file:
```
YIBr2
1.0
9.9395 0.0000 0.0000
0.0000 9.9395 0.0000
4.9698 4.9698 3.0634
Y Br I
2 4 2
Direct
0.2500 0.7500 0.5000
0.5000 0.5000 0.0000
0.8750 0.7429 0.7500
0.3750 0.5071 0.7500
0.2571 0.6250 0.2500
0.4929 0.1250 0.2500
0.7500 0.2500 0.5000
0.0000 0.0000 0.0000
```



A relaxed structure of YIBr, computed with PBE.

Results
- DFT total energy (eV for the cell shown) = -13.9
- calculated volume (Å³/atom) = 35.9
- offset from the most stable computed form (eV per atom) = 0.0470

POSCAR file:
```
YIBr
1.0
-2.6954 2.9848 0.2185
-1.1867 -3.8222 0.4522
1.1936 0.5242 7.5640
Y Br I
1 1 1
Direct
0.6667 0.3333 0.3435
0.3333 0.6667 0.5735
0.0000 0.0000 0.0830
```



A relaxed structure of YIBr, computed with PBE.

Results
- DFT total energy (eV for the cell shown) = -55.1
- calculated volume (Å³/atom) = 36.1
- offset from the most stable computed form (eV per atom) = 0.0922

POSCAR file:
```
YIBr
1.0
9.8202 0.0000 -0.0467
0.0000 3.7938 0.0000
-9.1026 0.0000 11.6740
Y I Br
4 4 4
Direct
0.8886 0.0000 0.3937
0.8886 0.5000 0.8937
0.8183 0.5000 0.6351
0.8183 0.0000 0.1351
0.1102 0.5000 0.6072
0.6059 0.0000 0.6833
0.6059 0.5000 0.1833
0.1102 0.0000 0.1072
0.6429 0.5000 0.9412
0.0634 0.5000 0.3290
0.0634 0.0000 0.8290
0.6429 0.0000 0.4412
```



A relaxed structure of YI2Br, computed with PBE.

Results
- DFT total energy (eV for the cell shown) = -33.6
- calculated volume (Å³/atom) = 43.0
- offset from the most stable computed form (eV per atom) = 0.1447

POSCAR file:
```
YI2Br
1.0
11.0449 0.0000 0.0000
0.0000 11.0449 0.0000
5.5224 5.5224 2.8200
Y Br I
2 2 4
Direct
0.0000 0.0000 0.0000
0.7500 0.2500 0.5000
0.2500 0.7500 0.5000
0.5000 0.5000 0.0000
0.9795 0.6250 0.2500
0.7705 0.1250 0.2500
0.8750 0.0205 0.7500
0.3750 0.2295 0.7500
```



A relaxed structure of Y2I2Br, computed with PBE.

Results
- DFT total energy (eV for the cell shown) = -44.5
- calculated volume (Å³/atom) = 29.3
- offset from the most stable computed form (eV per atom) = 0.2427

POSCAR file:
```
Y2I2Br
1.0
8.6846 0.0000 0.0000
0.0000 8.6846 0.0000
0.0000 0.0000 3.8883
Br I Y
2 4 4
Direct
0.5000 0.5000 0.0000
0.0000 0.0000 0.0000
0.3522 0.1478 0.5000
0.8522 0.3522 0.5000
0.6478 0.8522 0.5000
0.1478 0.6478 0.5000
0.8540 0.6460 0.0000
0.3540 0.8540 0.0000
0.6460 0.1460 0.0000
0.1460 0.3540 0.0000
```



A relaxed structure of YIBr, computed with PBE.

Results
- DFT total energy (eV for the cell shown) = -27.9
- calculated volume (Å³/atom) = 36.7
- offset from the most stable computed form (eV per atom) = 0.0363

POSCAR file:
```
YIBr
1.0
-2.1883 -1.2691 3.1385
3.9125 -5.7410 0.4068
6.3308 -0.5140 6.6151
Br Y I
2 2 2
Direct
0.6508 0.9471 0.7136
0.3492 0.0529 0.2864
0.2508 0.2645 0.4983
0.7492 0.7355 0.5017
0.1265 0.4183 0.7655
0.8735 0.5817 0.2345
```



A relaxed structure of YI2Br, computed with PBE.

Results
- DFT total energy (eV for the cell shown) = -17.3
- calculated volume (Å³/atom) = 47.0
- offset from the most stable computed form (eV per atom) = 0.0171

POSCAR file:
```
YI2Br
1.0
-0.4306 -2.3474 -3.1018
5.8253 -4.8810 0.4162
-1.0973 -6.9370 2.9334
Y I Br
1 2 1
Direct
0.7500 0.8858 0.6142
0.4108 0.5684 0.6102
0.0892 0.8898 0.9316
0.2500 0.1560 0.3440
```



A relaxed structure of YIBr, computed with PBE.

Results
- DFT total energy (eV for the cell shown) = -27.7
- calculated volume (Å³/atom) = 39.6
- offset from the most stable computed form (eV per atom) = 0.0589

POSCAR file:
```
YIBr
1.0
-1.8253 1.7850 -6.9221
-2.3594 -3.2361 -0.2123
-5.6610 3.8157 4.7514
Br I Y
2 2 2
Direct
0.6431 0.0000 0.3981
0.1797 0.0000 0.0097
0.6118 0.0000 0.9119
0.2047 0.5000 0.4417
0.4818 0.5000 0.1518
0.9284 0.0000 0.2232
```



A relaxed structure of YIBr, computed with PBE.

Results
- DFT total energy (eV for the cell shown) = -27.9
- calculated volume (Å³/atom) = 37.2
- offset from the most stable computed form (eV per atom) = 0.0362

POSCAR file:
```
YIBr
1.0
4.0286 0.0000 0.0000
0.0000 6.9460 -0.4159
0.0000 -0.2107 7.9798
Br Y I
2 2 2
Direct
0.2500 0.1021 0.2108
0.7500 0.8979 0.7892
0.7500 0.2631 0.9984
0.2500 0.7369 0.0016
0.2500 0.3893 0.7381
0.7500 0.6107 0.2619
```



A relaxed structure of Y2I2Br, computed with PBE.

Results
- DFT total energy (eV for the cell shown) = -46.9
- calculated volume (Å³/atom) = 38.9
- offset from the most stable computed form (eV per atom) = 0.0000

POSCAR file:
```
Y2I2Br
1.0
-1.3512 0.7446 3.7189
-8.0620 -2.4344 -2.4418
4.8691 -10.1626 1.6245
Y I Br
4 4 2
Direct
0.3130 0.7067 0.6259
0.8155 0.0833 0.6310
0.1845 0.9167 0.3690
0.6870 0.2933 0.3741
0.5879 0.7632 0.1758
0.9111 0.8431 0.8222
0.0889 0.1569 0.1778
0.4121 0.2368 0.8242
0.1881 0.5469 0.3763
0.8119 0.4531 0.6237
```



A relaxed structure of YIBr2, computed with PBE.

Results
- DFT total energy (eV for the cell shown) = -13.2
- calculated volume (Å³/atom) = 44.6
- offset from the most stable computed form (eV per atom) = 1.2307

POSCAR file:
```
YIBr2
1.0
1.1072 9.3912 9.7999
4.2573 10.3938 7.7008
0.7342 11.8093 6.7424
Y Br I
1 2 1
Direct
0.0000 0.0000 0.0000
0.0640 0.0640 0.0640
0.9360 0.9360 0.9360
0.5000 0.5000 0.5000
```



A relaxed structure of Y2I2Br, computed with PBE.

Results
- DFT total energy (eV for the cell shown) = -46.4
- calculated volume (Å³/atom) = 31.9
- offset from the most stable computed form (eV per atom) = 0.0459

POSCAR file:
```
Y2I2Br
1.0
-5.8204 1.3509 -0.2299
1.4620 -6.2613 3.9561
1.5123 7.2485 4.3062
Br I Y
2 4 4
Direct
0.3543 0.7086 0.8796
0.6457 0.2914 0.1204
0.7055 0.4110 0.6289
0.0385 0.0770 0.8197
0.9615 0.9230 0.1803
0.2945 0.5890 0.3711
0.1364 0.2728 0.5600
0.4956 0.9913 0.2854
0.5044 0.0087 0.7146
0.8636 0.7272 0.4400
```



A relaxed structure of YIBr2, computed with PBE.

Results
- DFT total energy (eV for the cell shown) = -18.0
- calculated volume (Å³/atom) = 44.3
- offset from the most stable computed form (eV per atom) = 0.0197

POSCAR file:
```
YIBr2
1.0
-1.3215 3.0584 -1.9121
-1.7462 -2.5371 -6.7155
-7.1146 -1.4863 -1.3313
Y I Br
1 1 2
Direct
0.7500 0.8647 0.6353
0.2503 0.1728 0.3272
0.4021 0.5792 0.6168
0.0976 0.8832 0.9207
```



A relaxed structure of Y3I7Br, computed with PBE.

Results
- DFT total energy (eV for the cell shown) = -47.2
- calculated volume (Å³/atom) = 45.0

POSCAR file:
```
Y3I7Br
1.0
7.5978 0.0000 4.0386
3.8020 7.4543 2.0135
0.1794 0.0129 8.8287
I Br Y
7 1 3
Direct
0.3557 0.9200 0.3686
0.8516 0.4209 0.3792
0.2852 0.5905 0.8392
0.7910 0.0845 0.8389
0.8519 0.9167 0.3796
0.2856 0.0845 0.8389
0.3483 0.4209 0.3792
0.7989 0.5859 0.8164
0.0675 0.2556 0.6094
0.0676 0.7516 0.6097
0.5712 0.7516 0.6097
```



A relaxed structure of YIBr, computed with PBE.

Results
- DFT total energy (eV for the cell shown) = -27.9
- calculated volume (Å³/atom) = 36.3
- offset from the most stable computed form (eV per atom) = 0.0340

POSCAR file:
```
YIBr
1.0
-3.1805 -4.3114 -4.3486
3.5422 -0.8245 -1.7732
1.5407 -5.3355 5.5585
Y I Br
2 2 2
Direct
0.5000 0.0000 0.0000
0.0000 0.5000 0.0000
0.1990 0.0000 0.2623
0.8010 0.0000 0.7377
0.3083 0.5000 0.7791
0.6917 0.5000 0.2209
```



A relaxed structure of YIBr2, computed with PBE.

Results
- DFT total energy (eV for the cell shown) = -15.9
- calculated volume (Å³/atom) = 36.5
- offset from the most stable computed form (eV per atom) = 0.5441

POSCAR file:
```
YIBr2
1.0
2.2359 0.0000 11.2557
-1.1179 1.9363 11.2557
-1.1179 -1.9363 11.2557
I Br Y
1 2 1
Direct
0.0000 0.0000 0.0000
0.8863 0.8863 0.8863
0.1137 0.1137 0.1137
0.5000 0.5000 0.5000
```



A relaxed structure of ZnIBr, computed with PBE.

Results
- DFT total energy (eV for the cell shown) = -26.8
- calculated volume (Å³/atom) = 43.1

POSCAR file:
```
ZnIBr
1.0
6.5634 0.0000 0.0002
0.0000 12.0015 0.0000
-6.1959 0.0000 6.5664
Br I Zn
4 4 4
Direct
0.5693 0.2464 0.2596
0.4307 0.2464 0.7404
0.5693 0.7464 0.7596
0.4307 0.7464 0.2404
0.0312 0.9771 0.2617
0.0312 0.4771 0.7617
0.9688 0.9771 0.7383
0.9688 0.4771 0.2383
0.0000 0.8585 0.0000
0.0000 0.3585 0.5000
0.5000 0.3601 0.0000
0.5000 0.8601 0.5000
```



A relaxed structure of ZnIBr, computed with PBE.

Results
- DFT total energy (eV for the cell shown) = -13.4
- calculated volume (Å³/atom) = 45.1

POSCAR file:
```
ZnIBr
1.0
6.4156 0.3278 -0.1709
0.0549 6.5165 -1.0301
-0.3371 1.1452 6.2962
Zn I Br
2 2 2
Direct
0.5002 0.7541 0.0001
0.4998 0.2459 0.9999
0.7338 0.4805 0.2341
0.2662 0.5195 0.7659
0.3025 0.0078 0.1989
0.6975 0.9922 0.8011
```



A relaxed structure of ZnIBr, computed with PBE.

Results
- DFT total energy (eV for the cell shown) = -13.3
- calculated volume (Å³/atom) = 38.5

POSCAR file:
```
ZnIBr
1.0
4.0817 0.0007 -0.0032
0.0719 6.9855 -0.0002
0.0223 0.6500 8.0973
Zn I Br
2 2 2
Direct
0.2216 0.4167 0.7187
0.2194 0.4286 0.2114
0.2242 0.1842 0.4784
0.7149 0.6676 0.1968
0.2233 0.2159 0.9818
0.7176 0.6212 0.7027
```



Quick rundown of formation energy without anion corrections, same order as above: 1.2; -5.8; -4.3; -4.0; -6.1; 1.5; -3.8; -6.1; -4.2; -4.1; -5.5; -4.5; -4.3; -6.0; -4.2; -4.3; -5.8; -1.8; -5.5; -6.7; -15.3; -4.3; -4.6; -2.2; -2.2; -2.2 eV/f.u.